! TaCrGaRu2 PBEsol relaxed; values from VASP
! Energy of formation (kJ per mole of atoms): 145.23
! M_tot (μB/cell): 2.80
! Uncorrected energy (eV/atom): -7.79
&SYSTEM
  ibrav = 0, nat = 5, ntyp = 4
/
ATOMIC_SPECIES
Ta 180.95 Ta.upf
Cr 52.00 Cr.upf
Ga 69.72 Ga.upf
Ru 101.07 Ru.upf
CELL_PARAMETERS angstrom
4.414 0.000 0.000
0.000 4.414 0.000
0.000 0.000 4.614
ATOMIC_POSITIONS crystal
Ta 0.000 0.000 0.000
Cr 0.500 0.500 0.000
Ga 0.000 0.000 0.500
Ru 0.000 0.500 0.500
Ru 0.500 0.000 0.500